Record 1
This record from the Alexandria database describes a geometry-optimized SnTeRh2 structure. The functional is GGA-PBE.

Cell lengths 4.5082, 4.5082, 16.6277 Å; angles 90.00, 90.00, 90.00 degrees
Last column: nearest neighbours and their distance in Å.
Space group I-42d (No. 122)
Symmetry-distinct sites (fractional):
Sn  0.0000  0.0000  0.0000  4 Rh 2.66
Te  0.0000  0.0000  0.5000  4 Rh 2.58
Rh  0.2299  0.2500  0.6250  2 Te 2.58, 2 Sn 2.66

Properties
- formation energy from raw total energies (eV/atom) = -0.08

Record 2
This record from the Alexandria database describes a geometry-optimized ZrSnTeRh2 structure. The functional is GGA-PBE.

Cell lengths 4.8224, 4.8224, 5.3253 Å; angles 90.00, 90.00, 90.00 degrees
Last column: nearest neighbours and their distance in Å.
Space group P4/mmm (No. 123)
Symmetry-distinct sites (fractional):
Zr  0.0000  0.0000  0.0000  2 Te 2.66
Sn  0.5000  0.5000  0.0000  4 Zr 3.41, 8 Rh 3.59
Te  0.0000  0.0000  0.5000  4 Rh 2.41, 2 Zr 2.66
Rh  0.0000  0.5000  0.5000  2 Te 2.41

Properties
- formation energy from raw total energies (eV/atom) = 0.44